Density functional theory data (PBE-GGA) for crystalline KTlSb at its relaxed geometry.

## Properties
- Energy relative to the elements, uncorrected: -275.5 meV per atom
- DOS at the Fermi energy: 1.05 states/eV/f.u.
- SG: No. 46
- M_tot: 0.00 μB/f.u.

Unit cell a=8.246 b=9.808 c=9.808 alpha=65.36 beta=65.14 gamma=65.14
Fractional positions:
Tl (0.501, 0.626, 0.627)
Tl (0.754, 0.873, 0.874)
Sb (0.087, 0.167, 0.167)
K (0.326, 0.750, 0.250)
Tl (0.754, 0.374, 0.373)
K (0.180, 0.537, 0.037)
Sb (0.752, 0.750, 0.250)
Tl (0.006, 0.000, 0.000)
Tl (0.006, 0.500, 0.500)
K (0.753, 0.463, 0.963)
Sb (0.420, 0.833, 0.833)
K (0.753, 0.964, 0.464)
K (0.326, 0.250, 0.750)
Tl (0.501, 0.127, 0.126)
Sb (0.087, 0.667, 0.667)
Sb (0.420, 0.333, 0.333)
K (0.181, 0.036, 0.536)
Sb (0.753, 0.250, 0.750)



Density functional theory data (PBE-GGA) for crystalline Cs2KCaF5 at its relaxed geometry.

## Properties
- Energy relative to the elements, uncorrected: -3058.0 meV per atom
- DOS at the Fermi energy: 0.00 states/eV/f.u.
- SG: No. 71
- M_tot: 0.19 μB/f.u.

Unit cell a=4.443 b=6.583 c=8.109 alpha=113.95 beta=105.90 gamma=90.00
Fractional positions:
Cs (0.785, 0.785, 0.570)
F (0.000, 0.000, 0.000)
Ca (0.500, 0.000, 0.000)
F (0.385, 0.128, 0.769)
F (0.615, 0.872, 0.231)
K (0.000, 0.500, 0.000)
F (0.615, 0.359, 0.231)
Cs (0.215, 0.215, 0.430)
F (0.385, 0.641, 0.769)



Density functional theory data (PBE-GGA) for crystalline NaNp2Te4Pd at its relaxed geometry.

## Properties
- Energy relative to the elements, uncorrected: -323.8 meV per atom
- DOS at the Fermi energy: 7.98 states/eV/f.u.
- SG: No. 23
- M_tot: 5.02 μB/f.u.

Unit cell a=7.663 b=6.675 c=6.675 alpha=73.91 beta=54.97 gamma=54.97
Each line ends with the local moment (μB).
Fractional positions:
Np (0.161, 0.339, 0.339)  2.57
Pd (0.500, 0.500, 0.500)  -0.04
Te (0.610, 0.351, 0.849)  -0.04
Na (0.000, 0.000, 0.000)  0.00
Te (0.390, 0.151, 0.649)  -0.04
Te (0.190, 0.849, 0.351)  -0.04
Te (0.810, 0.649, 0.151)  -0.04
Np (0.839, 0.661, 0.661)  2.57



Density functional theory data (PBE-GGA) for crystalline Zr4BeTl at its relaxed geometry.

## Properties
- DOS at the Fermi energy: 9.52 states/eV/f.u.
- DFT formation energy: 0.000 eV/atom
- SG: No. 124
- M_tot: 0.00 μB/f.u.

Unit cell a=5.773 b=6.639 c=6.639 alpha=90.00 beta=90.00 gamma=90.00
Fractional positions:
Be (0.250, 0.500, 0.500)
Zr (0.000, 0.366, 0.183)
Tl (0.250, 0.000, 0.000)
Zr (0.000, 0.183, 0.634)
Tl (0.750, 0.000, 0.000)
Zr (0.500, 0.366, 0.817)
Be (0.750, 0.500, 0.500)
Zr (0.000, 0.817, 0.366)
Zr (0.500, 0.183, 0.366)
Zr (0.000, 0.634, 0.817)
Zr (0.500, 0.817, 0.634)
Zr (0.500, 0.634, 0.183)



Density functional theory data (PBE-GGA) for crystalline NpAl2S4 at its relaxed geometry.

## Properties
- Energy relative to the elements, uncorrected: -868.0 meV per atom
- DOS at the Fermi energy: 9.36 states/eV/f.u.
- SG: No. 87
- M_tot: 5.00 μB/f.u.

Unit cell a=6.026 b=6.026 c=6.026 alpha=103.65 beta=103.65 gamma=121.87
Each line ends with the local moment (μB).
Fractional positions:
S (0.850, 0.321, 0.171)  -0.02
Al (0.250, 0.750, 0.500)  0.01
Al (0.750, 0.250, 0.500)  0.01
Np (0.500, 0.500, 0.000)  4.58
S (0.150, 0.679, 0.829)  -0.02
S (0.321, 0.150, 0.470)  -0.02
S (0.679, 0.850, 0.530)  -0.02



Density functional theory data (PBE-GGA) for crystalline Na3Cd5Hg2 at its relaxed geometry.

## Properties
- DOS at the Fermi energy: 4.50 states/eV/f.u.
- DFT formation energy: -0.080 eV/atom
- SG: No. 72
- M_tot: 0.00 μB/f.u.

Unit cell a=6.177 b=9.872 c=9.872 alpha=90.72 beta=71.77 gamma=71.77
Fractional positions:
Cd (0.376, 0.771, 0.478)
Cd (0.876, 0.478, 0.771)
Na (0.119, 0.129, 0.633)
Hg (0.862, 0.292, 0.984)
Na (0.619, 0.633, 0.129)
Cd (0.250, 0.500, 0.500)
Cd (0.501, 0.749, 0.749)
Cd (0.624, 0.229, 0.522)
Cd (0.499, 0.251, 0.251)
Na (0.381, 0.367, 0.871)
Cd (0.124, 0.522, 0.229)
Na (0.881, 0.871, 0.367)
Hg (0.138, 0.708, 0.016)
Na (0.750, 0.000, 0.000)
Cd (0.001, 0.749, 0.749)
Cd (0.999, 0.251, 0.251)
Cd (0.750, 0.500, 0.500)
Hg (0.362, 0.984, 0.292)
Na (0.250, 0.000, 0.000)
Hg (0.638, 0.016, 0.708)



Density functional theory data (PBE-GGA) for crystalline Nd2Ho4Ge3H2 at its relaxed geometry.

## Properties
- Raw total energy: -55.207 eV per cell
- DOS at the Fermi energy: 10.45 states/eV/f.u.
- SG: No. 139
- M_tot: 0.00 μB/f.u.

Unit cell a=4.569 b=4.569 c=12.255 alpha=100.74 beta=100.74 gamma=90.00
Fractional positions:
Ge (0.000, 0.000, 0.000)
Nd (0.701, 0.701, 0.401)
Ho (0.079, 0.579, 0.159)
Ge (0.169, 0.169, 0.337)
Ho (0.421, 0.921, 0.841)
Ho (0.579, 0.079, 0.159)
Ge (0.831, 0.831, 0.663)
H (0.596, 0.596, 0.191)
H (0.404, 0.404, 0.809)
Ho (0.921, 0.421, 0.841)
Nd (0.299, 0.299, 0.599)



Density functional theory data (PBE-GGA) for crystalline ScCu2S at its relaxed geometry.

## Properties
- Energy relative to the elements, uncorrected: -372.0 meV per atom
- DOS at the Fermi energy: 3.81 states/eV/f.u.
- SG: No. 122
- M_tot: 0.00 μB/f.u.

Unit cell a=7.252 b=7.252 c=5.690 alpha=50.42 beta=50.42 gamma=90.00
Fractional positions:
S (0.500, 0.500, 0.000)
Cu (0.572, 0.125, 0.250)
Cu (0.178, 0.625, 0.250)
Cu (0.375, 0.428, 0.750)
Sc (0.750, 0.250, 0.500)
Sc (0.000, 0.000, 0.000)
Cu (0.875, 0.822, 0.750)
S (0.250, 0.750, 0.500)